# 1
Computed, not measured: ZnInI2F after structural relaxation at the PBE-GGA level of DFT.

Geometry as POSCAR:
```
ZnInI2F
1.0
5.821 0.000 0.000
0.000 5.821 0.000
0.000 0.000 4.072
Zn In I F
1 1 2 1
direct
0.000 0.000 0.000 Zn
0.500 0.500 0.500 In
0.000 0.500 0.000 I
0.500 0.000 0.000 I
0.000 0.000 0.500 F
```

Values from the calculation:
D(E_F) in states/eV per atom: 0.066
Size of the total moment in μB/atom: 0.00
V in Å³ per atom: 27.592
E_tot in eV per atom: -2.707
Formation energy from raw total energies in eV/atom: -0.9103

# 2
Computed, not measured: ZrIn2I4F2 after structural relaxation at the PBE-GGA level of DFT.

Geometry as POSCAR:
```
ZrIn2I4F2
1.0
5.853 -4.263 0.000
5.853 4.263 0.000
-0.888 0.000 7.002
Zr In I F
1 2 4 2
direct
0.000 0.000 0.000 Zr
0.342 0.342 0.100 In
0.658 0.658 0.900 In
0.133 0.650 0.747 I
0.350 0.867 0.253 I
0.650 0.133 0.747 I
0.867 0.350 0.253 I
0.143 0.143 0.871 F
0.857 0.857 0.129 F
```

Values from the calculation:
D(E_F) in states/eV per atom: 0.000
Size of the total moment in μB/atom: 0.00
V in Å³ per atom: 38.820
E_tot in eV per atom: -4.073
Formation energy from raw total energies in eV/atom: -1.4095

# 3
Computed, not measured: Ir2IF after structural relaxation at the PBE-GGA level of DFT.

Geometry as POSCAR:
```
Ir2IF
1.0
6.286 0.000 0.000
0.000 6.286 0.000
0.000 0.000 6.286
Ir I F
8 4 4
direct
0.250 0.250 0.250 Ir
0.250 0.250 0.750 Ir
0.250 0.750 0.250 Ir
0.250 0.750 0.750 Ir
0.750 0.250 0.250 Ir
0.750 0.250 0.750 Ir
0.750 0.750 0.250 Ir
0.750 0.750 0.750 Ir
0.000 0.000 0.000 I
0.000 0.500 0.500 I
0.500 0.000 0.500 I
0.500 0.500 0.000 I
0.000 0.000 0.500 F
0.000 0.500 0.000 F
0.500 0.000 0.000 F
0.500 0.500 0.500 F
```

Values from the calculation:
Distance to the lowest polymorph of the same formula in meV per atom: 0
D(E_F) in states/eV per atom: 0.423
Size of the total moment in μB/atom: 0.00
V in Å³ per atom: 15.523
E_tot in eV per atom: -4.655
Formation energy from raw total energies in eV/atom: 0.6308

# 4
Computed, not measured: Ir2IF after structural relaxation at the PBE-GGA level of DFT.

Geometry as POSCAR:
```
Ir2IF
1.0
6.813 0.000 0.000
0.000 6.813 0.000
0.000 0.000 5.700
Ir I F
8 4 4
direct
0.227 0.250 0.125 Ir
0.250 0.727 0.375 Ir
0.250 0.773 0.875 Ir
0.273 0.250 0.625 Ir
0.727 0.750 0.625 Ir
0.750 0.227 0.875 Ir
0.750 0.273 0.375 Ir
0.773 0.750 0.125 Ir
0.000 0.000 0.500 I
0.000 0.500 0.750 I
0.500 0.000 0.250 I
0.500 0.500 0.000 I
0.000 0.000 0.000 F
0.000 0.500 0.250 F
0.500 0.000 0.750 F
0.500 0.500 0.500 F
```

Values from the calculation:
Distance to the lowest polymorph of the same formula in meV per atom: 99
D(E_F) in states/eV per atom: 0.734
Size of the total moment in μB/atom: 0.00
V in Å³ per atom: 16.534
E_tot in eV per atom: -4.556
Formation energy from raw total energies in eV/atom: 0.7294

# 5
Computed, not measured: IrIF3 after structural relaxation at the PBE-GGA level of DFT.

Geometry as POSCAR:
```
IrIF3
1.0
4.698 0.000 0.000
0.000 4.698 0.000
0.000 0.000 4.698
Ir I F
1 1 3
direct
0.000 0.000 0.000 Ir
0.500 0.500 0.500 I
0.000 0.500 0.500 F
0.500 0.000 0.500 F
0.500 0.500 0.000 F
```

Values from the calculation:
Distance to the lowest polymorph of the same formula in meV per atom: 848
D(E_F) in states/eV per atom: 1.018
Size of the total moment in μB/atom: 0.68
V in Å³ per atom: 20.733
E_tot in eV per atom: -2.696
Formation energy from raw total energies in eV/atom: 0.5090

# 6
Computed, not measured: IrI2F after structural relaxation at the PBE-GGA level of DFT.

Geometry as POSCAR:
```
IrI2F
1.0
6.749 0.000 0.000
0.000 6.749 0.000
0.000 0.000 6.749
Ir I F
4 8 4
direct
0.000 0.000 0.000 Ir
0.000 0.500 0.500 Ir
0.500 0.000 0.500 Ir
0.500 0.500 0.000 Ir
0.250 0.250 0.250 I
0.250 0.250 0.750 I
0.250 0.750 0.250 I
0.250 0.750 0.750 I
0.750 0.250 0.250 I
0.750 0.250 0.750 I
0.750 0.750 0.250 I
0.750 0.750 0.750 I
0.000 0.000 0.500 F
0.000 0.500 0.000 F
0.500 0.000 0.000 F
0.500 0.500 0.500 F
```

Values from the calculation:
Distance to the lowest polymorph of the same formula in meV per atom: 164
D(E_F) in states/eV per atom: 0.610
Size of the total moment in μB/atom: 0.00
V in Å³ per atom: 19.213
E_tot in eV per atom: -3.305
Formation energy from raw total energies in eV/atom: 0.1529